# 1
ZrCuAsW: relaxed, PBE-GGA.

POSCAR file:
```
ZrCuAsW
1.0
0.000 3.218 3.218
3.218 0.000 3.218
3.218 3.218 0.000
As Cu W Zr
1 1 1 1
Direct
0.000 0.000 0.000 As
0.750 0.750 0.750 Cu
0.250 0.250 0.250 W
0.500 0.500 0.500 Zr
```

Properties
Magnetization = 0.008 μB/cell

=====

# 2
YCuAs2: relaxed, PBE-GGA.

POSCAR file:
```
YCuAs2
1.0
2.420 -3.977 1.150
-1.621 -4.286 -1.414
2.341 -2.448 -3.394
As Cu Y
2 1 1
Direct
0.000 0.000 0.000 As
0.250 0.250 0.250 As
0.750 0.750 0.750 Cu
0.500 0.500 0.500 Y
```

Properties
Magnetization = 0.000 μB/cell

=====

# 3
YCu3As2: relaxed, PBE-GGA.

POSCAR file:
```
YCu3As2
1.0
-3.578 -1.996 0.564
2.179 -0.600 -3.463
3.265 -5.026 2.925
As Cu Y
2 3 1
Direct
0.667 0.333 0.251 As
0.333 0.667 0.749 As
0.333 0.667 0.352 Cu
0.000 0.000 0.500 Cu
0.667 0.333 0.648 Cu
0.000 0.000 0.000 Y
```

Properties
Magnetization = 0.003 μB/cell

=====

# 4
YZnCuAs: relaxed, PBE-GGA.

POSCAR file:
```
YZnCuAs
1.0
0.000 3.346 3.346
3.346 0.000 3.346
3.346 3.346 0.000
As Cu Y Zn
1 1 1 1
Direct
0.000 0.000 0.000 As
0.750 0.750 0.750 Cu
0.250 0.250 0.250 Y
0.500 0.500 0.500 Zn
```

Properties
Magnetization = 0.000 μB/cell

=====

# 5
YZnCuAs: relaxed, PBE-GGA.

POSCAR file:
```
YZnCuAs
1.0
0.355 -3.352 -3.307
0.895 -4.465 1.250
-3.368 -3.285 -0.403
As Cu Y Zn
1 1 1 1
Direct
0.000 0.000 0.000 As
0.250 0.250 0.250 Cu
0.500 0.500 0.500 Y
0.750 0.750 0.750 Zn
```

Properties
Magnetization = 0.001 μB/cell

=====

# 6
YZrCuAs: relaxed, PBE-GGA.

POSCAR file:
```
YZrCuAs
1.0
0.957 -0.330 4.701
-3.563 0.350 3.210
-1.399 -3.880 2.472
As Cu Y Zr
1 1 1 1
Direct
0.000 0.000 0.000 As
0.750 0.750 0.750 Cu
0.500 0.500 0.500 Y
0.250 0.250 0.250 Zr
```

Properties
Magnetization = 0.004 μB/cell

=====

Energy? In order: -7.08, -5.07, -4.97, -4.28, -4.20, -5.67 eV/atom.